ZnInFeAu | GGA-PBE | relaxed

Output
The calculation puts the volume at 265.4 Å³ per cell. The value obtained for the final energy is -3.774 eV per atom. Its excess energy over the best structure of this formula in the dataset is 0 meV/atom.

abc: 6.427 6.427 6.427
angles: 90.00 90.00 90.00
Space group F-43m (No. 216)
Inequivalent atoms, fractional coordinates:
Zn: 0.000 0.000 0.000
In: 0.000 0.000 0.500
Fe: 0.250 0.250 0.750
Au: 0.250 0.250 0.250